## NaNiF3 (GGA+U)

Data for an optimized crystal structure of NaNiF3.

Lattice parameters (Å, degrees): 5.406 5.594 7.760 90.00 90.00 90.00
Each line ends with the local moment (μB).
Element x y z (fractional)
F  0.803  0.799  0.446  0.05
F  0.396  0.965  0.250  0.05
F  0.303  0.701  0.554  0.05
F  0.104  0.465  0.250  0.05
F  0.197  0.201  0.554  0.05
F  0.197  0.201  0.946  0.05
F  0.896  0.535  0.750  0.05
F  0.303  0.701  0.946  0.05
F  0.604  0.035  0.750  0.05
F  0.803  0.799  0.054  0.05
F  0.697  0.299  0.054  0.05
F  0.697  0.299  0.446  0.05
Na  0.484  0.443  0.750  0.00
Na  0.516  0.557  0.250  0.00
Na  0.984  0.057  0.250  0.00
Na  0.016  0.943  0.750  0.00
Ni  0.500  0.000  0.000  1.84
Ni  0.500  0.000  0.500  1.84
Ni  0.000  0.500  0.500  1.84
Ni  0.000  0.500  0.000  1.84

Summary:
DOS(E_F) in states/eV/cell: 0.00
DFT total energy in eV per atom: -4.331